Material: Nb3TlS
Method: DFT, PBE
State: relaxed

Lattice parameters (Å, degrees): 4.633 4.633 4.633 90.00 90.00 90.00
Positions (direct):
Nb  0.000  0.000  0.500
Nb  0.000  0.500  0.000
Nb  0.500  0.000  0.000
Tl  0.500  0.500  0.500
S  0.000  0.000  0.000

- energy above the most stable polymorph in this dataset (eV/f.u.) = 0.000
- density (g/cm³) = 8.60
- space-group type = Pm-3m
- energy (eV for the cell shown) = -36.0
- raw formation energy (kJ/mol of atoms) = 13.5



Material: NbTl4S5
Method: DFT, PBE
State: relaxed

Lattice parameters (Å, degrees): 7.352 7.352 7.352 100.24 100.24 130.13
Positions (direct):
Nb  0.000  0.000  0.000
Tl  0.100  0.514  0.795
Tl  0.305  0.100  0.586
Tl  0.514  0.719  0.414
Tl  0.719  0.305  0.205
S  0.010  0.158  0.328
S  0.158  0.831  0.148
S  0.368  0.368  0.000
S  0.683  0.010  0.852
S  0.831  0.683  0.672

- density (g/cm³) = 6.45
- space-group type = I4
- energy (eV for the cell shown) = -45.3
- raw formation energy (kJ/mol of atoms) = -49.0



Material: Nb4Tl2S7
Method: DFT, PBE
State: relaxed

Lattice parameters (Å, degrees): 6.071 6.071 8.559 90.00 90.00 120.00
Positions (direct):
Nb  0.000  0.000  0.161
Nb  0.000  0.000  0.839
Nb  0.333  0.667  0.000
Nb  0.667  0.333  0.000
Tl  0.333  0.667  0.500
Tl  0.667  0.333  0.500
S  0.000  0.000  0.500
S  0.000  0.389  0.801
S  0.000  0.611  0.199
S  0.389  0.000  0.801
S  0.389  0.389  0.199
S  0.611  0.000  0.199
S  0.611  0.611  0.801

- density (g/cm³) = 6.11
- space-group type = P-31m
- energy (eV for the cell shown) = -81.5
- raw formation energy (kJ/mol of atoms) = -56.5



Material: NbTlS2
Method: DFT, PBE
State: relaxed

Lattice parameters (Å, degrees): 8.722 3.355 14.196 90.00 90.00 90.00
Positions (direct):
Nb  0.005  0.250  0.084
Nb  0.495  0.750  0.584
Nb  0.505  0.250  0.416
Nb  0.995  0.750  0.916
Tl  0.065  0.250  0.621
Tl  0.435  0.750  0.121
Tl  0.565  0.250  0.879
Tl  0.935  0.750  0.379
S  0.112  0.750  0.195
S  0.195  0.250  0.956
S  0.305  0.750  0.456
S  0.388  0.250  0.695
S  0.612  0.750  0.305
S  0.695  0.250  0.544
S  0.805  0.750  0.044
S  0.888  0.250  0.805

- density (g/cm³) = 5.78
- space-group type = Pnma
- energy (eV for the cell shown) = -94.3
- raw formation energy (kJ/mol of atoms) = -69.6



> What is the density in the second record?

6.45 g/cm³